Record 1
Tl2ReW | the Alexandria database | PBE | optimized geometry; size of the total moment = 0.002 μB per cell; space-group type = F-43m; offset from the most stable computed form = 759.1 meV per atom; density of states at the Fermi level = 3.76 states/eV/f.u.
1.0
-3.518 -3.117 0.947
0.598 -3.330 3.397
-2.435 0.312 4.118
Re W Tl
1 1 2
Direct
0.500 0.500 0.500
0.750 0.750 0.750
0.250 0.250 0.250
0.000 0.000 0.000

Record 2
CrMoSe2 | the Alexandria database | PBE | optimized geometry; size of the total moment = 0.251 μB per cell; space-group type = I-42d; offset from the most stable computed form = 666.0 meV per atom; density of states at the Fermi level = 6.42 states/eV/f.u.; E_form (uncorrected) = 0.38 eV per atom
1.0
-1.610 2.595 4.832
-4.889 -2.960 -0.039
-1.004 -3.928 5.156
Cr Se Mo
2 4 2
Direct
0.500 0.500 0.000
0.250 0.750 0.500
0.608 0.125 0.250
0.875 0.858 0.750
0.375 0.392 0.750
0.142 0.625 0.250
0.750 0.250 0.500
0.000 0.000 0.000

Record 3
LaEr2Ru | the Alexandria database | PBE | optimized geometry; size of the total moment = 0.002 μB per cell; space-group type = R-3m; offset from the most stable computed form = 351.1 meV per atom; density of states at the Fermi level = 5.71 states/eV/f.u.
1.0
3.497 0.000 0.000
1.749 3.029 0.000
1.749 1.010 10.731
Er Ru La
2 1 1
Direct
0.108 0.108 0.675
0.892 0.892 0.325
0.500 0.500 0.500
0.000 0.000 0.000

Record 4
Ta2CrMo | the Alexandria database | PBE | optimized geometry; size of the total moment = 0.000 μB per cell; space-group type = Pm; E_tot = -0.4050 hartree per atom; density of states at the Fermi level = 3.09 states/eV/f.u.
1.0
-1.298 3.057 -2.911
-2.097 0.785 1.760
2.376 3.683 2.807
Ta Mo Cr
2 1 1
Direct
0.500 0.263 0.259
0.000 0.987 0.995
0.500 0.741 0.745
0.000 0.508 0.501

Record 5
YSeO2F | the Alexandria database | PBE | optimized geometry; size of the total moment = 0.000 μB per cell; space-group type = P4/mmm; density of states at the Fermi level = 2.76 states/eV/f.u.; E_form (uncorrected) = -1.09 eV per atom
1.0
3.943 0.000 0.000
0.000 3.943 0.000
0.000 0.000 4.842
O F Se Y
2 1 1 1
Direct
0.500 0.000 0.000
0.000 0.500 0.000
0.000 0.000 0.500
0.000 0.000 0.000
0.500 0.500 0.500

Record 6
ZrMnAs2 | the Alexandria database | PBE | optimized geometry; size of the total moment = 2.173 μB per cell; space-group type = F-43m; E_tot = -0.2476 hartree per atom; density of states at the Fermi level = 6.06 states/eV/f.u.
1.0
4.626 0.000 0.000
2.313 4.006 0.000
2.313 1.335 3.777
Mn Zr As
1 1 2
Direct
0.500 0.500 0.500
0.750 0.750 0.750
0.250 0.250 0.250
0.000 0.000 0.000

Record 7
TaICl3 | the Alexandria database | PBE | optimized geometry; size of the total moment = 0.000 μB per cell; space-group type = P2/c; offset from the most stable computed form = 25.3 meV per atom; E_form (uncorrected) = -1.04 eV per atom
1.0
-6.266 0.688 6.244
-0.117 -11.106 1.107
7.997 0.716 8.032
I Cl Ta
4 12 4
Direct
0.918 0.161 0.411
0.082 0.161 0.089
0.082 0.839 0.589
0.918 0.839 0.911
0.945 0.372 0.895
0.689 0.429 0.475
0.167 0.595 0.797
0.311 0.429 0.025
0.055 0.372 0.605
0.833 0.595 0.703
0.833 0.405 0.203
0.167 0.405 0.297
0.945 0.628 0.395
0.311 0.571 0.525
0.055 0.628 0.105
0.689 0.571 0.975
0.064 0.403 0.079
0.936 0.403 0.421
0.064 0.597 0.579
0.936 0.597 0.921

Record 8
BeOs | the Alexandria database | PBE | optimized geometry; size of the total moment = 0.000 μB per cell; space-group type = Cmcm; E_tot = -0.2799 hartree per atom; density of states at the Fermi level = 1.01 states/eV/f.u.
1.0
-0.787 -0.928 3.526
2.747 -0.147 0.574
1.365 3.948 1.343
Be Os
2 2
Direct
0.000 0.802 0.022
0.500 0.948 0.728
0.500 0.224 0.175
0.000 0.526 0.575

Record 9
Ba4Hg5Ge2 | the Alexandria database | PBE | optimized geometry; size of the total moment = 0.000 μB per cell; space-group type = P2/m; E_tot = -0.0787 hartree per atom; density of states at the Fermi level = 7.45 states/eV/f.u.
1.0
4.526 0.000 0.000
0.000 8.648 0.467
0.000 -0.328 9.688
Ba Ge Hg
4 2 5
Direct
0.500 0.784 0.151
0.500 0.246 0.387
0.500 0.216 0.849
0.500 0.754 0.613
0.000 0.061 0.614
0.000 0.939 0.386
0.000 0.577 0.357
0.000 0.122 0.122
0.000 0.500 0.000
0.000 0.878 0.878
0.000 0.423 0.643

Record 10
Pr2SBr3 | the Alexandria database | PBE | optimized geometry; size of the total moment = 0.000 μB per cell; space-group type = C2/m; density of states at the Fermi level = 1.00 states/eV/f.u.; E_form (uncorrected) = -1.83 eV per atom
1.0
-2.199 1.819 3.695
-5.744 -5.879 2.425
4.473 -5.602 8.368
Br S Pr
6 2 4
Direct
0.771 0.850 0.608
0.658 0.696 0.987
0.229 0.150 0.392
0.944 0.868 0.244
0.342 0.304 0.013
0.056 0.132 0.756
0.596 0.484 0.323
0.404 0.516 0.677
0.139 0.531 0.191
0.861 0.469 0.809
0.597 0.247 0.558
0.403 0.753 0.442

Record 11
Tb2Pm2Pr5 | the Alexandria database | PBE | optimized geometry; size of the total moment = 0.000 μB per cell; space-group type = Ima2; offset from the most stable computed form = 103.6 meV per atom; density of states at the Fermi level = 13.20 states/eV/f.u.
1.0
-0.261 -10.488 5.806
3.893 2.719 5.087
-8.089 6.055 -1.807
Tb Pr Pm
4 10 4
Direct
0.000 0.041 0.000
0.258 0.351 0.500
0.742 0.851 0.500
0.500 0.541 0.000
0.624 0.735 0.714
0.797 0.265 0.105
0.005 0.657 0.500
0.410 0.521 0.286
0.995 0.157 0.500
0.590 0.235 0.714
0.192 0.660 0.895
0.376 0.021 0.286
0.203 0.160 0.895
0.808 0.765 0.105
0.377 0.926 0.747
0.623 0.180 0.253
0.869 0.426 0.747
0.131 0.680 0.253

Record 12
InNiAu | the Alexandria database | PBE | optimized geometry; size of the total moment = 0.000 μB per cell; space-group type = F-43m; E_tot = -0.1400 hartree per atom; density of states at the Fermi level = 2.30 states/eV/f.u.
1.0
4.395 0.000 0.000
2.198 3.806 0.000
2.198 1.269 3.589
Ni Au In
1 1 1
Direct
0.500 0.500 0.500
0.750 0.750 0.750
0.000 0.000 0.000